VASP calculation (GGA-PBE) on a relaxed structure of TlSN2.

a b c (Å): 4.194 4.194 4.194
angles (deg): 60.00 60.00 60.00
Sites, in units of the cell vectors:
Tl 0.000 0.000 0.000
S 0.500 0.500 0.500
N 0.250 0.250 0.250
N 0.750 0.750 0.750

Calculated values
Symmetry ... Fm-3m
Energy relative to the elements, uncorrected ... 2.21 eV/atom
Crystal system ... cubic
Magnetic moment ... 0.000 μB/f.u.